The following is a PBE-GGA calculation of crystalline Sr2NbCrS at its relaxed geometry, from Alexandria via LeMat-Bulk.

As for the spin magnetization: 2.1 μB per formula unit. The total DFT energy (no corrections) comes out at -24.36 eV/cell. As for the uncorrected formation energy: 2.82 eV per formula unit.

It has space group P4/mmm (No. 123), with a = 5.629 Å, b = 5.629 Å, c = 4.671 Å, α = 90.00°, β = 90.00° and γ = 90.00°. Symmetry generates all atoms from Sr at (0.000, 0.500, 0.000), Nb at (0.000, 0.000, 0.500), Cr at (0.500, 0.500, 0.500) and S at (0.000, 0.000, 0.000).